# Pr2C2N5 | Alexandria | GGA-PBE | optimized geometry
# E_tot = -0.6071 Ry per atom
# formation energy from raw total energies = -4.71 eV/f.u.
# Fermi-level density of states = 2.3 states/eV/cell
data_Pr2C2N5
_cell_length_a 15.5478
_cell_length_b 5.2021
_cell_length_c 6.4677
_cell_angle_alpha 90.00
_cell_angle_beta 90.00
_cell_angle_gamma 90.00
_symmetry_space_group_name_H-M 'I m a 2'
_symmetry_Int_Tables_number 46
loop_
_symmetry_equiv_pos_as_xyz
'x,y,z'
'-x,-y,z'
'-x+1/2,y,z'
'x+1/2,-y,z'
'x+1/2,y+1/2,z+1/2'
'-x+1/2,-y+1/2,z+1/2'
'-x,y+1/2,z+1/2'
'x,-y+1/2,z+1/2'
loop_
_atom_site_label
_atom_site_type_symbol
_atom_site_fract_x
_atom_site_fract_y
_atom_site_fract_z
Pr1 Pr 0.1298 0.0203 0.0000
C1 C 0.0000 0.0000 0.4181
C2 C 0.2500 0.0145 0.6697
N1 N 0.0010 0.2363 0.4113
N2 N 0.1729 0.6032 0.1511
N3 N 0.2500 0.2368 0.2384



# Pr3CN | Alexandria | GGA-PBE | optimized geometry
# E_tot = -0.4958 Ry per atom
# formation energy from raw total energies = -1.84 eV/f.u.
# Fermi-level density of states = 10.6 states/eV/cell
data_Pr3CN
_cell_length_a 6.3442
_cell_length_b 12.1513
_cell_length_c 6.6317
_cell_angle_alpha 90.00
_cell_angle_beta 109.62
_cell_angle_gamma 90.00
_symmetry_space_group_name_H-M 'C 1 2/m 1'
_symmetry_Int_Tables_number 12
loop_
_symmetry_equiv_pos_as_xyz
'x,y,z'
'-x,-y,-z'
'-x,y,-z'
'x,-y,z'
'x+1/2,y+1/2,z'
'-x+1/2,-y+1/2,-z'
'-x+1/2,y+1/2,-z'
'x+1/2,-y+1/2,z'
loop_
_atom_site_label
_atom_site_type_symbol
_atom_site_fract_x
_atom_site_fract_y
_atom_site_fract_z
Pr1 Pr 0.2423 0.0000 0.2690
Pr2 Pr 0.2428 0.3288 0.2263
C1 C 0.0000 0.1568 0.0000
N1 N 0.1342 0.5000 0.3255



# PrCN | Alexandria | GGA-PBE | optimized geometry
# E_tot = -0.5763 Ry per atom
# formation energy from raw total energies = -1.19 eV/f.u.
# Fermi-level density of states = 3.5 states/eV/cell
data_PrCN
_cell_length_a 7.0006
_cell_length_b 3.7845
_cell_length_c 6.1483
_cell_angle_alpha 90.00
_cell_angle_beta 90.00
_cell_angle_gamma 90.00
_symmetry_space_group_name_H-M 'P n m a'
_symmetry_Int_Tables_number 62
loop_
_symmetry_equiv_pos_as_xyz
'x,y,z'
'-x,-y,-z'
'-x+1/2,-y,z+1/2'
'x+1/2,y,-z+1/2'
'x+1/2,-y+1/2,-z+1/2'
'-x+1/2,y+1/2,z+1/2'
'-x,y+1/2,-z'
'x,-y+1/2,z'
loop_
_atom_site_label
_atom_site_type_symbol
_atom_site_fract_x
_atom_site_fract_y
_atom_site_fract_z
Pr1 Pr 0.1897 0.2500 0.1619
C1 C 0.0242 0.2500 0.5628
N1 N 0.0650 0.2500 0.7777



# Pr8C2N3 | Alexandria | GGA-PBE | optimized geometry
# E_tot = -0.5044 Ry per atom
# formation energy from raw total energies = -7.55 eV/f.u.
# Fermi-level density of states = 22.3 states/eV/cell
data_Pr8C2N3
_cell_length_a 12.9411
_cell_length_b 7.4854
_cell_length_c 6.5930
_cell_angle_alpha 90.00
_cell_angle_beta 108.61
_cell_angle_gamma 90.00
_symmetry_space_group_name_H-M 'C 1 2/m 1'
_symmetry_Int_Tables_number 12
loop_
_symmetry_equiv_pos_as_xyz
'x,y,z'
'-x,-y,-z'
'-x,y,-z'
'x,-y,z'
'x+1/2,y+1/2,z'
'-x+1/2,-y+1/2,-z'
'-x+1/2,y+1/2,-z'
'x+1/2,-y+1/2,z'
loop_
_atom_site_label
_atom_site_type_symbol
_atom_site_fract_x
_atom_site_fract_y
_atom_site_fract_z
Pr1 Pr 0.1142 0.0000 0.2350
Pr2 Pr 0.1193 0.5000 0.2131
Pr3 Pr 0.1252 0.2378 0.7624
C1 C 0.2495 0.0000 0.9893
N1 N 0.0000 0.0000 0.5000
N2 N 0.0000 0.2472 0.0000



# PrCN | Alexandria | GGA-PBE | optimized geometry
# E_tot = -0.5750 Ry per atom
# formation energy from raw total energies = -1.14 eV/f.u.
# Fermi-level density of states = 1.4 states/eV/cell
data_PrCN
_cell_length_a 6.8664
_cell_length_b 3.8645
_cell_length_c 3.7483
_cell_angle_alpha 90.00
_cell_angle_beta 104.48
_cell_angle_gamma 90.00
_symmetry_space_group_name_H-M 'C 1 m 1'
_symmetry_Int_Tables_number 8
loop_
_symmetry_equiv_pos_as_xyz
'x,y,z'
'x,-y,z'
'x+1/2,y+1/2,z'
'x+1/2,-y+1/2,z'
loop_
_atom_site_label
_atom_site_type_symbol
_atom_site_fract_x
_atom_site_fract_y
_atom_site_fract_z
Pr1 Pr 0.0000 0.0000 0.0000
C1 C 0.3809 0.0000 0.4569
N1 N 0.2538 0.0000 0.6523



# PrC3N6 | Alexandria | GGA-PBE | optimized geometry
# E_tot = -0.5966 Ry per atom
# formation energy from raw total energies = 1.23 eV/f.u.
# Fermi-level density of states = 9.9 states/eV/cell
data_PrC3N6
_cell_length_a 11.5707
_cell_length_b 11.5707
_cell_length_c 3.9558
_cell_angle_alpha 90.00
_cell_angle_beta 90.00
_cell_angle_gamma 120.00
_symmetry_space_group_name_H-M 'R 3 m'
_symmetry_Int_Tables_number 160
_symmetry_space_group_name_Hall 'R 3 -2"'
loop_
_atom_site_label
_atom_site_type_symbol
_atom_site_fract_x
_atom_site_fract_y
_atom_site_fract_z
Pr1 Pr 0.0000 0.0000 0.0000
C1 C 0.0363 0.5181 0.2243
N1 N 0.0875 0.1750 0.5032
N2 N 0.2079 0.4159 0.6215



# Pr2CN | Alexandria | GGA-PBE | optimized geometry
# E_tot = -0.5290 Ry per atom
# formation energy from raw total energies = -1.68 eV/f.u.
# Fermi-level density of states = 12.7 states/eV/cell
data_Pr2CN
_cell_length_a 3.7333
_cell_length_b 3.7333
_cell_length_c 18.6202
_cell_angle_alpha 90.00
_cell_angle_beta 90.00
_cell_angle_gamma 120.00
_symmetry_space_group_name_H-M 'R -3 m'
_symmetry_Int_Tables_number 166
_symmetry_space_group_name_Hall '-R 3 2"'
loop_
_atom_site_label
_atom_site_type_symbol
_atom_site_fract_x
_atom_site_fract_y
_atom_site_fract_z
Pr1 Pr 0.0000 0.0000 0.2470
C1 C 0.0000 0.0000 0.0000
N1 N 0.0000 0.0000 0.5000



# Pr4CN | Alexandria | GGA-PBE | optimized geometry
# E_tot = -0.4827 Ry per atom
# formation energy from raw total energies = -2.74 eV/f.u.
# Fermi-level density of states = 5.5 states/eV/cell
data_Pr4CN
_cell_length_a 6.3530
_cell_length_b 3.6925
_cell_length_c 6.6471
_cell_angle_alpha 90.00
_cell_angle_beta 90.93
_cell_angle_gamma 90.00
_symmetry_space_group_name_H-M 'P 1 2/m 1'
_symmetry_Int_Tables_number 10
loop_
_symmetry_equiv_pos_as_xyz
'x,y,z'
'-x,-y,-z'
'-x,y,-z'
'x,-y,z'
loop_
_atom_site_label
_atom_site_type_symbol
_atom_site_fract_x
_atom_site_fract_y
_atom_site_fract_z
Pr1 Pr 0.1592 0.0000 0.2883
Pr2 Pr 0.3325 0.5000 0.7138
C1 C 0.5000 0.0000 0.5000
N1 N 0.0000 0.5000 0.5000